#w
DFT (PBE) results for crystalline BPbNF2 at its relaxed geometry.

abc: 4.642 4.642 2.785
angles: 90.00 90.00 90.00
Atoms (fractional coordinates):
B (0.000, 0.000, 0.000)
Pb (0.500, 0.500, 0.500)
N (0.000, 0.000, 0.500)
F (0.000, 0.500, 0.000)
F (0.500, 0.000, 0.000)

DOS(E_F) ... 0.559 states/eV per cell
SG ... P4/mmm, No. 123



#x
DFT (PBE) results for crystalline BPbNF2 at its relaxed geometry.

abc: 4.479 4.479 4.344
angles: 90.00 90.00 90.00
Atoms (fractional coordinates):
B (0.000, 0.000, 0.000)
Pb (0.500, 0.500, 0.500)
N (0.500, 0.500, 0.000)
F (0.000, 0.500, 0.500)
F (0.500, 0.000, 0.500)

DOS(E_F) ... 1.943 states/eV per cell
SG ... P4/mmm, No. 123



Energies, relative to the best one, in meV per atom: #w 0; #x 1624.